A plane-wave DFT calculation with GGA+U was carried out for a relaxed structure of Pr3MoO7.

Unit cell a=7.694 b=7.788 c=11.061 alpha=90.00 beta=90.00 gamma=90.00
Atoms (fractional coordinates):
Pr: 0.001 0.044 0.226
Pr: 0.001 0.045 0.773
Pr: 0.239 0.707 0.000
Pr: 0.261 0.293 0.500
Pr: 0.499 0.955 0.273
Pr: 0.499 0.956 0.726
Pr: 0.501 0.455 0.227
Pr: 0.501 0.456 0.774
Pr: 0.739 0.793 0.000
Pr: 0.761 0.207 0.500
Pr: 0.999 0.544 0.274
Pr: 0.999 0.545 0.727
Mo: 0.246 0.752 0.500
Mo: 0.254 0.248 0.000
Mo: 0.746 0.748 0.500
Mo: 0.754 0.252 0.000
O: 0.004 0.187 0.000
O: 0.004 0.272 0.633
O: 0.005 0.271 0.367
O: 0.211 0.909 0.366
O: 0.212 0.912 0.633
O: 0.218 0.447 0.123
O: 0.218 0.448 0.878
O: 0.282 0.552 0.378
O: 0.282 0.553 0.623
O: 0.288 0.088 0.133
O: 0.289 0.091 0.866
O: 0.495 0.729 0.867
O: 0.496 0.728 0.133
O: 0.496 0.813 0.500
O: 0.504 0.228 0.367
O: 0.504 0.313 0.000
O: 0.505 0.229 0.633
O: 0.711 0.591 0.634
O: 0.712 0.588 0.367
O: 0.718 0.052 0.122
O: 0.718 0.053 0.877
O: 0.782 0.947 0.377
O: 0.782 0.948 0.622
O: 0.788 0.412 0.867
O: 0.789 0.409 0.134
O: 0.995 0.771 0.133
O: 0.996 0.687 0.500
O: 0.996 0.772 0.867

- SG = P2_12_12_1, No. 19
- total energy (eV per atom) = -7.957
- energy relative to the lowest polymorph listed for this composition (meV/atom) = 21
- V (Å³ per cell) = 662.8